Record 1
# Pu3Np | the Alexandria database | PBE | relaxed
# Calculated volume ... 20.52 A^3/atom
# Calculated formation energy ... 0.334 eV/atom
# Excess energy over the best structure of this formula in the dataset ... 0.25 eV per formula unit
# Theoretical density ... 19.60 Mg/m³
data_Pu3Np
_cell_length_a 3.0173
_cell_length_b 5.5183
_cell_length_c 9.8614
_cell_angle_alpha 90.00
_cell_angle_beta 90.00
_cell_angle_gamma 90.00
_symmetry_space_group_name_H-M 'I m m m'
_symmetry_Int_Tables_number 71
_symmetry_space_group_name_Hall '-I 2 2'
loop_
_atom_site_label
_atom_site_type_symbol
_atom_site_fract_x
_atom_site_fract_y
_atom_site_fract_z
Pu1 Pu 0.0000 0.0000 0.0000
Pu2 Pu 0.0000 0.5000 0.2417
Np1 Np 0.0000 0.0000 0.5000

=====

Record 2
# Mg4AgRh | the Alexandria database | PBE | relaxed
# Calculated volume ... 18.31 A^3/atom
# Calculated formation energy ... -0.295 eV/atom
# Excess energy over the best structure of this formula in the dataset ... 0.00 eV per formula unit
# Theoretical density ... 4.66 Mg/m³
data_Mg4AgRh
_cell_length_a 3.3019
_cell_length_b 3.3019
_cell_length_c 10.0763
_cell_angle_alpha 90.00
_cell_angle_beta 90.00
_cell_angle_gamma 90.00
_symmetry_space_group_name_H-M 'P 4/m m m'
_symmetry_Int_Tables_number 123
_symmetry_space_group_name_Hall '-P 4 2'
loop_
_atom_site_label
_atom_site_type_symbol
_atom_site_fract_x
_atom_site_fract_y
_atom_site_fract_z
Mg1 Mg 0.0000 0.0000 0.1396
Mg2 Mg 0.5000 0.5000 0.3385
Ag1 Ag 0.0000 0.0000 0.5000
Rh1 Rh 0.5000 0.5000 0.0000

=====

Record 3
# LaPr2Pu | the Alexandria database | PBE | relaxed
# Calculated volume ... 33.83 A^3/atom
# Calculated formation energy ... 0.150 eV/atom
# Excess energy over the best structure of this formula in the dataset ... 0.11 eV per formula unit
# Theoretical density ... 8.16 Mg/m³
data_LaPr2Pu
_cell_length_a 5.0985
_cell_length_b 5.0985
_cell_length_c 5.2062
_cell_angle_alpha 90.00
_cell_angle_beta 90.00
_cell_angle_gamma 90.00
_symmetry_space_group_name_H-M 'P 4/m m m'
_symmetry_Int_Tables_number 123
_symmetry_space_group_name_Hall '-P 4 2'
loop_
_atom_site_label
_atom_site_type_symbol
_atom_site_fract_x
_atom_site_fract_y
_atom_site_fract_z
La1 La 0.0000 0.0000 0.0000
Pr1 Pr 0.0000 0.5000 0.5000
Pu1 Pu 0.5000 0.5000 0.0000

=====

Record 4
# SrScB | the Alexandria database | PBE | relaxed
# Calculated volume ... 25.54 A^3/atom
# Calculated formation energy ... 0.072 eV/atom
# Excess energy over the best structure of this formula in the dataset ... 0.62 eV per formula unit
# Theoretical density ... 3.11 Mg/m³
data_SrScB
_cell_length_a 4.2753
_cell_length_b 5.7039
_cell_length_c 6.2847
_cell_angle_alpha 90.00
_cell_angle_beta 90.00
_cell_angle_gamma 90.00
_symmetry_space_group_name_H-M 'P m m 2'
_symmetry_Int_Tables_number 25
loop_
_symmetry_equiv_pos_as_xyz
'x,y,z'
'-x,-y,z'
'-x,y,z'
'x,-y,z'
loop_
_atom_site_label
_atom_site_type_symbol
_atom_site_fract_x
_atom_site_fract_y
_atom_site_fract_z
Sr1 Sr 0.0000 0.0000 0.0000
Sr2 Sr 0.5000 0.5000 0.2162
Sc1 Sc 0.0000 0.5000 0.6403
Sc2 Sc 0.5000 0.0000 0.5549
B1 B 0.0000 0.1467 0.4412